(1)
First-principles (PBE-GGA) data for crystalline RbRePb at its relaxed geometry, as listed in the Open Quantum Materials Database.

Cell lengths 5.1304, 5.1304, 5.1304 Å; angles 60.00, 60.00, 60.00 degrees
With the nearest neighbours (Å) after each atom.
Positions (direct):
Rb 0.0000 0.0000 0.0000  4 Re 3.14
Re 0.7500 0.7500 0.7500  4 Pb 3.14, 4 Rb 3.14
Pb 0.5000 0.5000 0.5000  4 Re 3.14

Results
* energy above the most stable polymorph in this dataset: 0 meV per atom
* total DFT energy (no corrections): -11.94 eV/f.u.
* calculated volume: 31.83 A^3/atom



(2)
First-principles (PBE-GGA) data for crystalline RbTaPbS5 at its relaxed geometry, as listed in the Open Quantum Materials Database.

Cell lengths 7.1380, 7.6302, 9.6596 Å; angles 71.72, 79.17, 74.52 degrees
With the nearest neighbours (Å) after each atom.
Positions (direct):
Rb 0.0976 0.3784 0.2701  6 S 3.38-3.71
Rb 0.9024 0.6216 0.7299  6 S 3.38-3.71
Ta 0.2597 0.9698 0.9949  4 S 2.33-2.49
Ta 0.7403 0.0302 0.0051  4 S 2.33-2.49
Pb 0.4792 0.7186 0.3654  4 S 2.51-2.60
Pb 0.5208 0.2814 0.6346  4 S 2.51-2.60
S 0.0656 0.7761 0.9774  1 Ta 2.34
S 0.1691 0.9241 0.2640  1 Ta 2.49, 1 Pb 2.51
S 0.2528 0.1032 0.7260  1 Ta 2.48, 1 Pb 2.51
S 0.4311 0.6241 0.6505  2 Pb 2.57-2.60
S 0.4329 0.2345 0.9875  1 Ta 2.33
S 0.5671 0.7655 0.0125  1 Ta 2.33
S 0.5689 0.3759 0.3495  2 Pb 2.57-2.60
S 0.7472 0.8968 0.2740  1 Ta 2.48, 1 Pb 2.51
S 0.8309 0.0759 0.7360  1 Ta 2.49, 1 Pb 2.51
S 0.9344 0.2239 0.0226  1 Ta 2.34

Results
* total DFT energy (no corrections): -42.61 eV/f.u.
* calculated volume: 29.89 A^3/atom



(3)
First-principles (PBE-GGA) data for crystalline RbTbPbS3 at its relaxed geometry, as listed in the Open Quantum Materials Database.

Cell lengths 8.8940, 8.8940, 11.5980 Å; angles 90.00, 90.00, 153.64 degrees
With the nearest neighbours (Å) after each atom.
Positions (direct):
Rb 0.1666 0.8334 0.7500  2 S 3.13
Rb 0.8334 0.1666 0.2500  2 S 3.13
Tb 0.5000 0.5000 0.0000  6 S 2.74-2.90
Tb 0.5000 0.5000 0.5000  6 S 2.74-2.90
Pb 0.1099 0.8901 0.2500  4 S 2.75-2.85
Pb 0.8901 0.1099 0.7500  4 S 2.75-2.85
S 0.1062 0.8938 0.0045  2 Tb 2.74, 1 Pb 2.85
S 0.1062 0.8938 0.4955  2 Tb 2.74, 1 Pb 2.85
S 0.4975 0.5025 0.7500  2 Pb 2.75, 2 Tb 2.90
S 0.5025 0.4975 0.2500  2 Pb 2.75, 2 Tb 2.90
S 0.8938 0.1062 0.5045  2 Tb 2.74, 1 Pb 2.85
S 0.8938 0.1062 0.9955  2 Tb 2.74, 1 Pb 2.85

Results
* total DFT energy (no corrections): -29.28 eV/f.u.
* calculated volume: 33.95 A^3/atom